Compound: BaCeCrO6
Source: Alexandria
Functional: PBE+U
Structure: optimized geometry

```
BaCeCrO6
1.0
5.531 0.001 0.000
2.766 4.790 0.000
0.000 -0.001 5.618
O Ce Ba Cr
6 1 1 1
direct
0.597 0.354 0.690
0.354 0.597 0.310
0.597 0.049 0.310
0.049 0.597 0.690
0.049 0.354 0.310
0.354 0.049 0.690
0.667 0.667 0.500
0.000 0.000 0.000
0.333 0.333 0.500
```

Output
- DFT total energy (eV per atom) = -7.18
- total moment (μB per formula unit) = 0.0
- space group = P312 (149)